# IrRh3Cl (PBE, relaxed)
data_IrRh3Cl
_chemical_formula_sum 'Ir1 Rh3 Cl1'
_cell_length_a 4.346
_cell_length_b 4.346
_cell_length_c 4.346
_cell_angle_alpha 90.00
_cell_angle_beta 90.00
_cell_angle_gamma 90.00
_space_group_name_H-M_alt 'P m -3 m'
_space_group_IT_number 221
_space_group_name_Hall '-P 4 2 3'
loop_
_atom_site_label
_atom_site_fract_x
_atom_site_fract_y
_atom_site_fract_z
Ir1 0.000 0.000 0.000
Rh1 0.000 0.500 0.500
Cl1 0.500 0.500 0.500
# - E above lowest polymorph: 0.0 meV per atom
# - Energy: -5.4184 eV per atom
# - Raw formation energy: 1.13 eV/atom

# HoZrAl2 (PBE, relaxed)
data_HoZrAl2
_chemical_formula_sum 'Ho1 Zr1 Al2'
_cell_length_a 4.544
_cell_length_b 4.544
_cell_length_c 4.078
_cell_angle_alpha 90.00
_cell_angle_beta 90.00
_cell_angle_gamma 90.00
_space_group_name_H-M_alt 'P 4/m m m'
_space_group_IT_number 123
_space_group_name_Hall '-P 4 2'
loop_
_atom_site_label
_atom_site_fract_x
_atom_site_fract_y
_atom_site_fract_z
Ho1 0.000 0.000 0.000
Zr1 0.500 0.500 0.000
Al1 0.000 0.500 0.500
# - E above lowest polymorph: 19.9 meV per atom
# - Energy: -5.4895 eV per atom
# - Energy of formation: -1.35 eV per formula unit

# TaWN (PBE, relaxed)
data_TaWN
_chemical_formula_sum 'Ta1 W1 N1'
_cell_length_a 3.0778
_cell_length_b 3.0778
_cell_length_c 4.7700
_cell_angle_alpha 90.00
_cell_angle_beta 90.00
_cell_angle_gamma 120.00
_space_group_name_H-M_alt 'P 3 m 1'
_space_group_IT_number 156
loop_
_space_group_symop_operation_xyz
'x,y,z'
'-y,x-y,z'
'-x+y,-x,z'
'-y,-x,z'
'-x+y,y,z'
'x,x-y,z'
loop_
_atom_site_label
_atom_site_fract_x
_atom_site_fract_y
_atom_site_fract_z
Ta1 0.0000 0.0000 0.0000
W1 0.6667 0.3333 0.4840
N1 0.3333 0.6667 0.7351
# - Energy: -11.3712 eV per atom
# - Raw formation energy: -0.33 eV/atom

# TbCeAs2 (PBE, relaxed)
data_TbCeAs2
_chemical_formula_sum 'Tb3 Ce3 As6'
_cell_length_a 4.1791
_cell_length_b 4.1791
_cell_length_c 20.4379
_cell_angle_alpha 90.00
_cell_angle_beta 90.00
_cell_angle_gamma 120.00
_space_group_name_H-M_alt 'R -3 m'
_space_group_IT_number 166
_space_group_name_Hall '-R 3 2"'
loop_
_atom_site_label
_atom_site_fract_x
_atom_site_fract_y
_atom_site_fract_z
Tb1 0.0000 0.0000 0.0000
Ce1 0.0000 0.0000 0.5000
As1 0.0000 0.0000 0.2510
# - E above lowest polymorph: 0.0 meV per atom
# - Energy: -6.4521 eV per atom
# - Energy of formation: -5.95 eV per formula unit

# CaBeTe2N (PBE, relaxed)
data_CaBeTe2N
_chemical_formula_sum 'Ca1 Be1 Te2 N1'
_cell_length_a 5.854
_cell_length_b 5.854
_cell_length_c 4.181
_cell_angle_alpha 90.00
_cell_angle_beta 90.00
_cell_angle_gamma 90.00
_space_group_name_H-M_alt 'P 4/m m m'
_space_group_IT_number 123
_space_group_name_Hall '-P 4 2'
loop_
_atom_site_label
_atom_site_fract_x
_atom_site_fract_y
_atom_site_fract_z
Ca1 0.000 0.000 0.000
Be1 0.500 0.500 0.500
Te1 0.000 0.500 0.000
N1 0.000 0.000 0.500
# - E above lowest polymorph: 1440.3 meV per atom
# - Energy: -2.8390 eV per atom
# - Raw formation energy: 1.23 eV/atom

# Li2Tb3Al4 (PBE, relaxed)
data_Li2Tb3Al4
_chemical_formula_sum 'Li4 Tb6 Al8'
_cell_length_a 10.707
_cell_length_b 4.687
_cell_length_c 8.820
_cell_angle_alpha 90.00
_cell_angle_beta 117.56
_cell_angle_gamma 90.00
_space_group_name_H-M_alt 'C 1 2/m 1'
_space_group_IT_number 12
loop_
_space_group_symop_operation_xyz
'x,y,z'
'-x,-y,-z'
'-x,y,-z'
'x,-y,z'
'x+1/2,y+1/2,z'
'-x+1/2,-y+1/2,-z'
'-x+1/2,y+1/2,-z'
'x+1/2,-y+1/2,z'
loop_
_atom_site_label
_atom_site_fract_x
_atom_site_fract_y
_atom_site_fract_z
Li1 0.090 0.000 0.259
Tb1 0.000 0.500 0.000
Tb2 0.175 0.000 0.656
Al1 0.031 0.500 0.370
Al2 0.240 0.000 0.073
# - Energy: -3.9537 eV per atom
# - Energy of formation: -2.89 eV per formula unit

# RbLi2As2Au2 (PBE, relaxed)
data_RbLi2As2Au2
_chemical_formula_sum 'Rb3 Li6 As6 Au6'
_cell_length_a 4.4188
_cell_length_b 4.4188
_cell_length_c 27.8979
_cell_angle_alpha 90.00
_cell_angle_beta 90.00
_cell_angle_gamma 120.00
_space_group_name_H-M_alt 'R -3 m'
_space_group_IT_number 166
_space_group_name_Hall '-R 3 2"'
loop_
_atom_site_label
_atom_site_fract_x
_atom_site_fract_y
_atom_site_fract_z
Rb1 0.0000 0.0000 0.0000
Li1 0.0000 0.0000 0.1436
As1 0.0000 0.0000 0.2408
Au1 0.0000 0.0000 0.4414
# - Energy: -3.4848 eV per atom
# - Energy of formation: -3.74 eV per formula unit

# BaAs3Pt (PBE, relaxed)
data_BaAs3Pt
_chemical_formula_sum 'Ba1 As3 Pt1'
_cell_length_a 5.086
_cell_length_b 5.086
_cell_length_c 5.086
_cell_angle_alpha 90.00
_cell_angle_beta 90.00
_cell_angle_gamma 90.00
_space_group_name_H-M_alt 'P m -3 m'
_space_group_IT_number 221
_space_group_name_Hall '-P 4 2 3'
loop_
_atom_site_label
_atom_site_fract_x
_atom_site_fract_y
_atom_site_fract_z
Ba1 0.000 0.000 0.000
As1 0.000 0.500 0.500
Pt1 0.500 0.500 0.500
# - E above lowest polymorph: 0.0 meV per atom
# - Energy: -4.5719 eV per atom
# - Energy of formation: -0.95 eV per formula unit

# BaMn2Cl (PBE, relaxed)
data_BaMn2Cl
_chemical_formula_sum 'Ba1 Mn2 Cl1'
_cell_length_a 3.918
_cell_length_b 3.810
_cell_length_c 7.792
_cell_angle_alpha 90.00
_cell_angle_beta 104.54
_cell_angle_gamma 90.00
_space_group_name_H-M_alt 'P 1 m 1'
_space_group_IT_number 6
loop_
_space_group_symop_operation_xyz
'x,y,z'
'x,-y,z'
loop_
_atom_site_label
_atom_site_fract_x
_atom_site_fract_y
_atom_site_fract_z
Ba1 0.000 0.000 0.000
Mn1 0.210 0.000 0.427
Mn2 0.681 0.500 0.367
Cl1 0.404 0.500 0.806
# - E above lowest polymorph: 0.0 meV per atom
# - Energy: -5.5187 eV per atom
# - Raw formation energy: 0.01 eV/atom

# Nb6V2W (PBE, relaxed)
data_Nb6V2W
_chemical_formula_sum 'Nb6 V2 W1'
_cell_length_a 2.798
_cell_length_b 7.080
_cell_length_c 7.944
_cell_angle_alpha 100.74
_cell_angle_beta 90.14
_cell_angle_gamma 97.44
_space_group_name_H-M_alt 'P -1'
_space_group_IT_number 2
loop_
_space_group_symop_operation_xyz
'x,y,z'
'-x,-y,-z'
loop_
_atom_site_label
_atom_site_fract_x
_atom_site_fract_y
_atom_site_fract_z
Nb1 0.057 0.161 0.267
Nb2 0.167 0.502 0.837
Nb3 0.277 0.830 0.385
V1 0.384 0.160 0.949
W1 0.500 0.500 0.500
# - E above lowest polymorph: 0.0 meV per atom
# - Energy: -10.1591 eV per atom
# - Energy of formation: 0.18 eV per formula unit

# Ac2Zr2S7 (PBE, relaxed)
data_Ac2Zr2S7
_chemical_formula_sum 'Ac4 Zr4 S14'
_cell_length_a 8.516
_cell_length_b 9.831
_cell_length_c 6.626
_cell_angle_alpha 90.00
_cell_angle_beta 90.00
_cell_angle_gamma 90.00
_space_group_name_H-M_alt 'C m m m'
_space_group_IT_number 65
_space_group_name_Hall '-C 2 2'
loop_
_atom_site_label
_atom_site_fract_x
_atom_site_fract_y
_atom_site_fract_z
Ac1 0.242 0.000 0.000
Zr1 0.000 0.275 0.500
S1 0.000 0.000 0.500
S2 0.000 0.500 0.278
S3 0.250 0.250 0.256
# - E above lowest polymorph: 111.0 meV per atom
# - Energy: -6.5179 eV per atom
# - Raw formation energy: -1.59 eV/atom

# SmErO4 (PBE, relaxed)
data_SmErO4
_chemical_formula_sum 'Sm2 Er2 O8'
_cell_length_a 6.698
_cell_length_b 3.851
_cell_length_c 6.302
_cell_angle_alpha 90.00
_cell_angle_beta 97.24
_cell_angle_gamma 90.00
_space_group_name_H-M_alt 'C 1 m 1'
_space_group_IT_number 8
loop_
_space_group_symop_operation_xyz
'x,y,z'
'x,-y,z'
'x+1/2,y+1/2,z'
'x+1/2,-y+1/2,z'
loop_
_atom_site_label
_atom_site_fract_x
_atom_site_fract_y
_atom_site_fract_z
Sm1 0.000 0.000 0.000
Er1 0.118 0.500 0.541
O1 0.158 0.500 0.905
O2 0.219 0.000 0.343
O3 0.393 0.000 0.215
O4 0.456 0.500 0.618
# - Energy: -7.7936 eV per atom
# - Raw formation energy: -2.94 eV/atom

> Which value of energy does entry 8 give?

-4.5719 eV per atom

Copy entry 6 word for word.
# Li2Tb3Al4 (PBE, relaxed)
data_Li2Tb3Al4
_chemical_formula_sum 'Li4 Tb6 Al8'
_cell_length_a 10.707
_cell_length_b 4.687
_cell_length_c 8.820
_cell_angle_alpha 90.00
_cell_angle_beta 117.56
_cell_angle_gamma 90.00
_space_group_name_H-M_alt 'C 1 2/m 1'
_space_group_IT_number 12
loop_
_space_group_symop_operation_xyz
'x,y,z'
'-x,-y,-z'
'-x,y,-z'
'x,-y,z'
'x+1/2,y+1/2,z'
'-x+1/2,-y+1/2,-z'
'-x+1/2,y+1/2,-z'
'x+1/2,-y+1/2,z'
loop_
_atom_site_label
_atom_site_fract_x
_atom_site_fract_y
_atom_site_fract_z
Li1 0.090 0.000 0.259
Tb1 0.000 0.500 0.000
Tb2 0.175 0.000 0.656
Al1 0.031 0.500 0.370
Al2 0.240 0.000 0.073
# - Energy: -3.9537 eV per atom
# - Energy of formation: -2.89 eV per formula unit

> Which of these has the highest energy?

CaBeTe2N